# PBE Ce8Ru5Rh, optimized geometry
data_Ce8Ru5Rh
_space_group_name_H-M_alt 'I -4'
_space_group_IT_number 82
_space_group_name_Hall 'I -4'
_cell_length_a 8.627
_cell_length_b 8.627
_cell_length_c 8.532
_cell_angle_alpha 90.00
_cell_angle_beta 90.00
_cell_angle_gamma 90.00
loop_
_atom_site_label
_atom_site_fract_x
_atom_site_fract_y
_atom_site_fract_z
Ce1 0.056 0.190 0.321
Ce2 0.057 0.305 0.931
Ru1 0.000 0.000 0.000
Ru2 0.130 0.251 0.621
Rh1 0.000 0.500 0.250
# DOS(E_F) in states/eV/atom: 1.5702
# Calculated density in g cm⁻³: 9.04
# Formation enthalpy at 0 K in eV per formula unit: -5.44



# PBE SmHoLuZr, optimized geometry
data_SmHoLuZr
_space_group_name_H-M_alt 'F -4 3 m'
_space_group_IT_number 216
_space_group_name_Hall 'F -4 2 3'
_cell_length_a 7.736
_cell_length_b 7.736
_cell_length_c 7.736
_cell_angle_alpha 90.00
_cell_angle_beta 90.00
_cell_angle_gamma 90.00
loop_
_atom_site_label
_atom_site_fract_x
_atom_site_fract_y
_atom_site_fract_z
Sm1 0.000 0.000 0.000
Ho1 0.250 0.250 0.750
Lu1 0.250 0.250 0.250
Zr1 0.000 0.000 0.500
# DOS(E_F) in states/eV/atom: 1.9263
# Calculated density in g cm⁻³: 8.34
# Formation enthalpy at 0 K in eV per formula unit: 0.84



# PBE B2HSe4, optimized geometry
data_B2HSe4
_space_group_name_H-M_alt 'P 1'
_space_group_IT_number 1
_space_group_name_Hall 'P 1'
_cell_length_a 5.814
_cell_length_b 5.912
_cell_length_c 12.794
_cell_angle_alpha 91.09
_cell_angle_beta 97.93
_cell_angle_gamma 103.92
loop_
_atom_site_label
_atom_site_fract_x
_atom_site_fract_y
_atom_site_fract_z
B1 0.000 0.000 0.000
B2 0.108 0.318 0.578
B3 0.495 0.856 0.101
B4 0.857 0.750 0.582
H1 0.602 0.747 0.288
H2 0.680 0.217 0.936
Se1 0.085 0.626 0.518
Se2 0.317 0.948 0.975
Se3 0.370 0.778 0.232
Se4 0.397 0.273 0.659
Se5 0.624 0.677 0.679
Se6 0.819 0.801 0.096
Se7 0.823 0.068 0.535
Se8 0.932 0.248 0.914
# E in eV/cell: -61.82
# DOS(E_F) in states/eV/atom: 0.0000
# Calculated density in g cm⁻³: 2.66



Please write out number 2 again, unchanged.
# PBE SmHoLuZr, optimized geometry
data_SmHoLuZr
_space_group_name_H-M_alt 'F -4 3 m'
_space_group_IT_number 216
_space_group_name_Hall 'F -4 2 3'
_cell_length_a 7.736
_cell_length_b 7.736
_cell_length_c 7.736
_cell_angle_alpha 90.00
_cell_angle_beta 90.00
_cell_angle_gamma 90.00
loop_
_atom_site_label
_atom_site_fract_x
_atom_site_fract_y
_atom_site_fract_z
Sm1 0.000 0.000 0.000
Ho1 0.250 0.250 0.750
Lu1 0.250 0.250 0.250
Zr1 0.000 0.000 0.500
# DOS(E_F) in states/eV/atom: 1.9263
# Calculated density in g cm⁻³: 8.34
# Formation enthalpy at 0 K in eV per formula unit: 0.84



Question: Number 2 is which compound?
Answer: SmHoLuZr



Question: What is the DOS(E_F) in the first record?
Answer: 1.5702 states/eV/atom



Question: DOS(E_F) of number 2 (SmHoLuZr)?
Answer: 1.9263 states/eV/atom